A geometry-optimized NaSrPrWO6 structure. Source: Alexandria, functional GGA+U.

Lattice parameters (Å, degrees): 6.052 6.052 6.052 60.00 60.00 60.00
Atoms (fractional coordinates):
Na  0.250  0.250  0.250
O  0.728  0.272  0.728
O  0.728  0.272  0.272
Sr  0.750  0.750  0.750
O  0.272  0.728  0.728
O  0.728  0.728  0.272
Pr  0.000  0.000  0.000
W  0.500  0.500  0.500
O  0.272  0.728  0.272
O  0.272  0.272  0.728

Space-group type: F-43m
Total DFT energy (no corrections), eV/atom: -6.970